[1]
# Ce6Tl5Au, relaxed, DFT PBE
# Density of states at the Fermi level in states/eV per cell: 74.56
# Size of the total moment in μB/f.u.: 7.11
# Energy of formation from the pure elements in eV/atom: -0.287
# DFT total energy in eV per atom: -4.5129
data_Ce6Tl5Au
_symmetry_space_group_name_H-M 'C m m m'
_symmetry_Int_Tables_number 65
_symmetry_space_group_name_Hall '-C 2 2'
_cell_length_a 4.875
_cell_length_b 14.641
_cell_length_c 9.258
_cell_angle_alpha 90.00
_cell_angle_beta 90.00
_cell_angle_gamma 90.00
loop_
_atom_site_label
_atom_site_type_symbol
_atom_site_fract_x
_atom_site_fract_y
_atom_site_fract_z
Ce1 Ce 0.000 0.000 0.239
Ce2 Ce 0.000 0.340 0.245
Tl1 Tl 0.000 0.168 0.500
Tl2 Tl 0.000 0.170 0.000
Tl3 Tl 0.000 0.500 0.500
Au1 Au 0.000 0.500 0.000

[2]
# NdAl10Fe2, relaxed, DFT PBE
# Density of states at the Fermi level in states/eV per cell: 18.81
# Size of the total moment in μB/f.u.: 0.00
# Energy of formation from the pure elements in eV/atom: -0.354
# DFT total energy in eV per atom: -4.9014
data_NdAl10Fe2
_symmetry_space_group_name_H-M 'C m c m'
_symmetry_Int_Tables_number 63
_symmetry_space_group_name_Hall '-C 2c 2'
_cell_length_a 8.979
_cell_length_b 10.177
_cell_length_c 9.040
_cell_angle_alpha 90.00
_cell_angle_beta 90.00
_cell_angle_gamma 90.00
loop_
_atom_site_label
_atom_site_type_symbol
_atom_site_fract_x
_atom_site_fract_y
_atom_site_fract_z
Nd1 Nd 0.000 0.123 0.250
Al1 Al 0.000 0.162 0.598
Al2 Al 0.000 0.376 0.051
Al3 Al 0.150 0.371 0.750
Al4 Al 0.228 0.360 0.250
Al5 Al 0.229 0.000 0.000
Fe1 Fe 0.250 0.250 0.000

[3]
# Tc2PbS, relaxed, DFT PBE
# Density of states at the Fermi level in states/eV per cell: 10.98
# Size of the total moment in μB/f.u.: 0.00
# Uncorrected formation energy in eV/atom: 0.673
# DFT total energy in eV per atom: -6.4693
data_Tc2PbS
_symmetry_space_group_name_H-M 'I -4 2 d'
_symmetry_Int_Tables_number 122
_symmetry_space_group_name_Hall 'I -4 2bw'
_cell_length_a 6.126
_cell_length_b 6.126
_cell_length_c 9.300
_cell_angle_alpha 90.00
_cell_angle_beta 90.00
_cell_angle_gamma 90.00
loop_
_atom_site_label
_atom_site_type_symbol
_atom_site_fract_x
_atom_site_fract_y
_atom_site_fract_z
Tc1 Tc 0.177 0.250 0.125
Pb1 Pb 0.000 0.000 0.500
S1 S 0.000 0.000 0.000

[4]
# Mo2PPtBr, relaxed, DFT PBE
# Density of states at the Fermi level in states/eV per cell: 5.33
# Size of the total moment in μB/f.u.: 4.49
# Uncorrected formation energy in eV/atom: 1.781
# DFT total energy in eV per atom: -5.1760
data_Mo2PPtBr
_symmetry_space_group_name_H-M 'P 4/m m m'
_symmetry_Int_Tables_number 123
_symmetry_space_group_name_Hall '-P 4 2'
_cell_length_a 5.023
_cell_length_b 5.023
_cell_length_c 4.872
_cell_angle_alpha 90.00
_cell_angle_beta 90.00
_cell_angle_gamma 90.00
loop_
_atom_site_label
_atom_site_type_symbol
_atom_site_fract_x
_atom_site_fract_y
_atom_site_fract_z
Mo1 Mo 0.000 0.500 0.000
P1 P 0.000 0.000 0.500
Pt1 Pt 0.500 0.500 0.000
Br1 Br 0.500 0.500 0.500

Repeat the first record exactly.
# Ce6Tl5Au, relaxed, DFT PBE
# Density of states at the Fermi level in states/eV per cell: 74.56
# Size of the total moment in μB/f.u.: 7.11
# Energy of formation from the pure elements in eV/atom: -0.287
# DFT total energy in eV per atom: -4.5129
data_Ce6Tl5Au
_symmetry_space_group_name_H-M 'C m m m'
_symmetry_Int_Tables_number 65
_symmetry_space_group_name_Hall '-C 2 2'
_cell_length_a 4.875
_cell_length_b 14.641
_cell_length_c 9.258
_cell_angle_alpha 90.00
_cell_angle_beta 90.00
_cell_angle_gamma 90.00
loop_
_atom_site_label
_atom_site_type_symbol
_atom_site_fract_x
_atom_site_fract_y
_atom_site_fract_z
Ce1 Ce 0.000 0.000 0.239
Ce2 Ce 0.000 0.340 0.245
Tl1 Tl 0.000 0.168 0.500
Tl2 Tl 0.000 0.170 0.000
Tl3 Tl 0.000 0.500 0.500
Au1 Au 0.000 0.500 0.000

Q: Which value of density of states at the Fermi level does entry 1 give?
A: 74.56 states/eV per cell

Q: Which formula does entry 3 have?
A: Tc2PbS

Q: Which value of density of states at the Fermi level does entry 4 give?
A: 5.33 states/eV per cell